1.
Computed, not measured: crystalline Na2AgMoO4 at its relaxed geometry at the PBE+U level of DFT.

Cell: 5.2890 5.2890 6.0286 Å, 116.03 116.03 89.98°
Last column: magnetic moment on the atom in μB.
Positions (direct):
Na: 0.7500 0.2500 0.5000  0.00
Na: 0.2500 0.7500 0.5000  0.00
O: 0.3957 0.8175 0.2132  0.01
O: 0.6043 0.6043 0.7869  0.01
O: 0.1825 0.1825 0.7869  0.01
O: 0.8175 0.3957 0.2132  0.01
Ag: 0.0003 0.0003 0.0006  0.02
Mo: 0.4999 0.4999 0.9999  0.86

Properties
The electronic total energy is -5.40 eV/atom.



2.
Computed, not measured: crystalline NaAgMoO4 at its relaxed geometry at the PBE+U level of DFT.

Cell: 6.4736 6.2382 6.6811 Å, 90.00 89.62 90.00°
Positions (direct):
O: 0.1701 0.9797 0.3231
O: 0.8299 0.0203 0.6769
O: 0.5708 0.2500 0.3954
O: 0.4347 0.2500 0.8072
O: 0.5653 0.7500 0.1928
O: 0.8299 0.4797 0.6769
O: 0.4292 0.7500 0.6046
O: 0.1701 0.5203 0.3231
Ag: 0.6706 0.7500 0.8812
Ag: 0.3294 0.2500 0.1188
Na: 0.8507 0.7500 0.4152
Na: 0.1493 0.2500 0.5848
Mo: 0.3385 0.7500 0.3550
Mo: 0.6615 0.2500 0.6450

Properties
The electronic total energy is -5.78 eV/atom.



3.
Computed, not measured: crystalline Na2Ag3MoO6 at its relaxed geometry at the PBE+U level of DFT.

Cell: 5.8143 5.8143 6.5348 Å, 81.72 81.72 120.47°
Positions (direct):
Ag: 0.1448 0.8552 0.5000
Ag: 0.5000 0.5000 0.5000
Ag: 0.8552 0.1448 0.5000
O: 0.0571 0.7791 0.8255
O: 0.6650 0.6650 0.1778
O: 0.9429 0.2209 0.1745
O: 0.3350 0.3350 0.8222
O: 0.2209 0.9429 0.1745
O: 0.7791 0.0571 0.8255
Na: 0.3326 0.6674 0.0000
Na: 0.6674 0.3326 0.0000
Mo: 0.0000 0.0000 0.0000

Properties
The electronic total energy is -4.98 eV/atom.



Q: Which formula does entry 3 have?
A: Na2Ag3MoO6